This record from Alexandria describes an optimized crystal structure of Sm4ErSe7. The functional is PBE-GGA.

formation energy (no corrections) = -1876 meV per atom
calculated volume = 327.9 Å³ per cell
space group = No. 8
Fermi-level density of states = 0.1186 states/eV per atom

Lattice parameters (Å, degrees): 7.0959 7.0959 12.3462 104.14 104.14 33.05
Element x y z (fractional)
Sm  0.0000  0.0000  0.0000
Sm  0.1883  0.1883  0.7665
Sm  0.5873  0.5873  0.3849
Sm  0.8873  0.8873  0.5735
Er  0.7748  0.7748  0.1529
Se  0.1526  0.1526  0.2233
Se  0.2263  0.2263  0.5246
Se  0.3838  0.3838  0.0783
Se  0.5482  0.5482  0.6261
Se  0.6310  0.6310  0.9312
Se  0.8486  0.8486  0.7911
Se  0.9254  0.9254  0.3552


This record from Alexandria describes an optimized crystal structure of Sc2Pd2Pt. The functional is PBE-GGA.

E_form = -870 meV per atom
calculated volume = 179.3 Å³ per cell
space group = No. 127
excess energy over the best structure of this formula in the dataset = 0 meV per atom
Fermi-level density of states = 0.4913 states/eV per atom

Lattice parameters (Å, degrees): 7.2491 7.2491 3.4119 90.00 90.00 90.00
Element x y z (fractional)
Sc  0.1766  0.3234  0.0000
Sc  0.3234  0.8234  0.0000
Sc  0.6766  0.1766  0.0000
Sc  0.8234  0.6766  0.0000
Pd  0.1298  0.6298  0.5000
Pd  0.3702  0.1298  0.5000
Pd  0.6298  0.8702  0.5000
Pd  0.8702  0.3702  0.5000
Pt  0.0000  0.0000  0.5000
Pt  0.5000  0.5000  0.5000


This record from Alexandria describes an optimized crystal structure of MgMoC. The functional is PBE-GGA.

E_form = 102 meV per atom
calculated volume = 85.5 Å³ per cell
space group = No. 129
Fermi-level density of states = 0.4963 states/eV per atom

Lattice parameters (Å, degrees): 3.0581 3.0581 9.1464 90.00 90.00 90.00
Element x y z (fractional)
Mg  0.2500  0.2500  0.1259
Mg  0.7500  0.7500  0.8741
Mo  0.2500  0.2500  0.6071
Mo  0.7500  0.7500  0.3929
C  0.2500  0.2500  0.3717
C  0.7500  0.7500  0.6283